(1)
Entry from Alexandria via LeMat-Bulk: a relaxed CdGaAu4 crystal (PBE-GGA).

Lattice parameters (Å, degrees): 5.577 5.577 5.577 60.00 60.00 60.00
Fractional coordinates of all 6 atoms:
Cd 0.000 0.000 0.000
Ga 0.750 0.750 0.750
Au 0.375 0.375 0.375
Au 0.375 0.375 0.875
Au 0.375 0.875 0.375
Au 0.875 0.375 0.375

* formation enthalpy at 0 K: -0.004 eV/atom
* symmetry: F-43m, No. 216

---

(2)
Entry from Alexandria via LeMat-Bulk: a relaxed PmSiNi crystal (PBE-GGA).

Lattice parameters (Å, degrees): 4.005 4.005 8.377 90.00 90.00 120.00
Fractional coordinates of all 6 atoms:
Pm 0.000 0.000 0.000
Pm 0.000 0.000 0.500
Si 0.333 0.667 0.250
Si 0.667 0.333 0.750
Ni 0.333 0.667 0.750
Ni 0.667 0.333 0.250

* symmetry: P6_3/mmc, No. 194

---

(3)
Entry from Alexandria via LeMat-Bulk: a relaxed Pm2Ho12Er5 crystal (PBE-GGA).

Lattice parameters (Å, degrees): 6.114 9.936 10.760 67.13 84.41 87.71
Fractional coordinates of all 19 atoms:
Pm 0.225 0.456 0.053
Pm 0.775 0.544 0.947
Ho 0.038 0.149 0.352
Ho 0.098 0.831 0.993
Ho 0.113 0.165 0.673
Ho 0.385 0.676 0.467
Ho 0.422 0.322 0.834
Ho 0.424 0.697 0.755
Ho 0.576 0.303 0.245
Ho 0.578 0.678 0.166
Ho 0.615 0.324 0.533
Ho 0.887 0.835 0.327
Ho 0.902 0.169 0.007
Ho 0.962 0.851 0.648
Er 0.077 0.493 0.341
Er 0.397 0.015 0.161
Er 0.500 0.000 0.500
Er 0.603 0.985 0.839
Er 0.923 0.507 0.659

* formation enthalpy at 0 K: 0.122 eV/atom
* symmetry: P-1, No. 2

---

(4)
Entry from Alexandria via LeMat-Bulk: a relaxed ZrGa5Co crystal (PBE-GGA).

Lattice parameters (Å, degrees): 4.141 4.141 6.672 90.00 90.00 90.00
Fractional coordinates of all 7 atoms:
Zr 0.000 0.000 0.000
Ga 0.000 0.500 0.304
Ga 0.000 0.500 0.696
Ga 0.500 0.000 0.304
Ga 0.500 0.000 0.696
Ga 0.500 0.500 0.000
Co 0.000 0.000 0.500

* formation enthalpy at 0 K: -0.416 eV/atom
* symmetry: P4/mmm, No. 123

---

(5)
Entry from Alexandria via LeMat-Bulk: a relaxed CaTbPmSm crystal (PBE-GGA).

Lattice parameters (Å, degrees): 5.821 5.821 5.821 60.00 60.00 60.00
Fractional coordinates of all 4 atoms:
Ca 0.000 0.000 0.000
Tb 0.500 0.500 0.500
Pm 0.750 0.750 0.750
Sm 0.250 0.250 0.250

* formation enthalpy at 0 K: 0.137 eV/atom
* symmetry: F-43m, No. 216

---

(6)
Entry from Alexandria via LeMat-Bulk: a relaxed SiHg2Ir crystal (PBE-GGA).

Lattice parameters (Å, degrees): 7.754 7.754 7.754 94.86 94.86 146.15
Fractional coordinates of all 8 atoms:
Si 0.375 0.625 0.750
Si 0.625 0.375 0.250
Hg 0.000 0.000 0.000
Hg 0.000 0.000 0.500
Hg 0.000 0.500 0.000
Hg 0.500 0.000 0.500
Ir 0.125 0.875 0.250
Ir 0.875 0.125 0.750

* symmetry: I4_1/amd, No. 141

---

Number 1: calculated total energy -17.078 eV per cell. Number 2: calculated total energy -36.331 eV per cell. Number 3: calculated total energy -84.924 eV per cell. Number 4: calculated total energy -33.697 eV per cell. Number 5: calculated total energy -15.553 eV per cell. Number 6: calculated total energy -28.796 eV per cell.